A plane-wave DFT calculation with GGA+U was carried out for a geometry-optimized Ca2CoBiO6 structure.

The spin magnetization comes out at 4.0 Bohr magnetons per cell. As for the raw total energy: -5.93 eV/atom.

The structure in POSCAR format:
```
Ca2CoBiO6
1.0
5.0112 0.0000 0.0000
0.0000 5.4399 0.0000
0.0000 0.0000 5.4399
Ca Co Bi O
2 1 1 6
Direct
0.9966 0.5000 0.0000
0.9966 0.0000 0.5000
0.5671 0.0000 0.0000
0.5861 0.5000 0.5000
0.7263 0.2424 0.2424
0.7263 0.2424 0.7576
0.1759 0.5000 0.5000
0.2194 0.0000 0.0000
0.7263 0.7576 0.7576
0.7263 0.7576 0.2424
```